1.
The following is a DFT calculation (PBE-GGA) of a relaxed structure of Dy8Hg2C3.

Unit cell a=14.483 b=7.238 c=6.476 alpha=90.00 beta=107.25 gamma=90.00
Space group C2/m (No. 12)
Symmetry-distinct sites (fractional):
Dy 0.094 0.236 0.388 [8 per cell]
Dy 0.101 0.000 0.895 [4 per cell]
Dy 0.111 0.500 0.967 [4 per cell]
Hg 0.237 0.500 0.673 [4 per cell]
C 0.000 0.000 0.500 [2 per cell]
C 0.000 0.252 0.000 [4 per cell]

Values from the calculation:
- Volume: 24.93 Å³/atom
- Magnetic moment: 0.00 μB per formula unit
- Energy of formation from the pure elements: -0.252 eV per atom

---

2.
The following is a DFT calculation (PBE-GGA) of a relaxed structure of CoTeMo2.

Unit cell a=5.591 b=5.591 c=11.538 alpha=90.00 beta=90.00 gamma=90.00
Space group I-42d (No. 122)
Symmetry-distinct sites (fractional):
Co 0.000 0.000 0.000 [4 per cell]
Te 0.000 0.000 0.500 [4 per cell]
Mo 0.183 0.250 0.125 [8 per cell]

Values from the calculation:
- Volume: 22.55 Å³/atom
- Magnetic moment: 0.01 μB per formula unit
- ΔE_f (raw): 0.9862 eV per atom

---

3.
The following is a DFT calculation (PBE-GGA) of a relaxed structure of Rb2SbS3.

Unit cell a=13.029 b=8.691 c=7.058 alpha=90.00 beta=93.95 gamma=90.00
Space group C2/c (No. 15)
Symmetry-distinct sites (fractional):
Rb 0.157 0.159 0.217 [8 per cell]
Sb 0.000 0.426 0.750 [4 per cell]
S 0.000 0.151 0.750 [4 per cell]
S 0.142 0.488 0.509 [8 per cell]

Values from the calculation:
- E above lowest polymorph: 0.0152 eV per atom
- Volume: 33.22 Å³/atom
- Magnetic moment: 0.00 μB per formula unit
- ΔE_f (raw): -0.7533 eV per atom

---

4.
The following is a DFT calculation (PBE-GGA) of a relaxed structure of SrTbPa2O8.

Unit cell a=5.517 b=5.517 c=10.841 alpha=90.00 beta=90.00 gamma=90.00
Space group I-4m2 (No. 119)
Symmetry-distinct sites (fractional):
Sr 0.000 0.000 0.000 [2 per cell]
Tb 0.000 0.500 0.750 [2 per cell]
Pa 0.000 0.000 0.500 [2 per cell]
Pa 0.000 0.500 0.250 [2 per cell]
O 0.229 0.242 0.371 [16 per cell]

Values from the calculation:
- Volume: 13.75 Å³/atom
- Magnetic moment: 0.73 μB per formula unit
- ΔE_f (raw): -3.3533 eV per atom

---

5.
The following is a DFT calculation (PBE-GGA) of a relaxed structure of Cs2ZrAsO6.

Unit cell a=6.7413 b=6.7413 c=5.4216 alpha=90.00 beta=90.00 gamma=120.00
Space group P-3m1 (No. 164)
Symmetry-distinct sites (fractional):
Cs 0.3333 0.6667 0.1591 [2 per cell]
Zr 0.0000 0.0000 0.5000 [1 per cell]
As 0.0000 0.0000 0.0000 [1 per cell]
O 0.1270 0.2541 0.7859 [6 per cell]

Values from the calculation:
- Volume: 21.34 Å³/atom
- Magnetic moment: 1.07 μB per formula unit
- ΔE_f (raw): -1.7768 eV per atom

---

6.
The following is a DFT calculation (PBE-GGA) of a relaxed structure of Ti2SeO.

Unit cell a=3.3563 b=3.3563 c=16.9044 alpha=90.00 beta=90.00 gamma=120.00
Space group R-3m (No. 166, hexagonal axes)
Symmetry-distinct sites (fractional):
Ti 0.0000 0.0000 0.2226 [6 per cell]
Se 0.0000 0.0000 0.0000 [3 per cell]
O 0.0000 0.0000 0.5000 [3 per cell]

Values from the calculation:
- E above lowest polymorph: 0.0000 eV per atom
- Volume: 13.74 Å³/atom
- Magnetic moment: 0.00 μB per formula unit
- ΔE_f (raw): -1.5584 eV per atom

---

7.
The following is a DFT calculation (PBE-GGA) of a relaxed structure of BHI2.

Unit cell a=4.845 b=4.878 c=7.226 alpha=74.50 beta=74.78 gamma=69.25
Space group P1 (No. 1)
Symmetry-distinct sites (fractional):
B 0.000 0.000 0.000 [1 per cell]
H 0.214 0.783 0.999 [1 per cell]
I 0.664 0.034 0.256 [1 per cell]
I 0.967 0.339 0.745 [1 per cell]

Values from the calculation:
- E above lowest polymorph: 0.0000 eV per atom
- Volume: 37.80 Å³/atom
- Magnetic moment: 0.00 μB per formula unit

---

8.
The following is a DFT calculation (PBE-GGA) of a relaxed structure of BaInTe2.

Unit cell a=4.813 b=4.813 c=12.091 alpha=90.00 beta=90.00 gamma=90.00
Space group I-4m2 (No. 119)
Symmetry-distinct sites (fractional):
Ba 0.000 0.000 0.000 [2 per cell]
In 0.000 0.500 0.750 [2 per cell]
Te 0.000 0.000 0.500 [2 per cell]
Te 0.000 0.500 0.250 [2 per cell]

Values from the calculation:
- Volume: 35.01 Å³/atom
- Magnetic moment: 0.00 μB per formula unit
- ΔE_f (raw): -0.7655 eV per atom

---

9.
The following is a DFT calculation (PBE-GGA) of a relaxed structure of In2ReBr.

Unit cell a=3.037 b=4.711 c=14.548 alpha=90.00 beta=90.00 gamma=90.00
Space group Imm2 (No. 44)
Symmetry-distinct sites (fractional):
In 0.000 0.000 0.000 [2 per cell]
In 0.000 0.500 0.159 [2 per cell]
Re 0.000 0.500 0.678 [2 per cell]
Br 0.000 0.000 0.321 [2 per cell]

Values from the calculation:
- E above lowest polymorph: 0.1451 eV per atom
- Volume: 26.02 Å³/atom
- Magnetic moment: 0.00 μB per formula unit
- ΔE_f (raw): 0.4656 eV per atom

---

10.
The following is a DFT calculation (PBE-GGA) of a relaxed structure of TbGdAgHg.

Unit cell a=7.406 b=7.406 c=7.406 alpha=90.00 beta=90.00 gamma=90.00
Space group F-43m (No. 216)
Symmetry-distinct sites (fractional):
Tb 0.000 0.000 0.000 [4 per cell]
Gd 0.000 0.000 0.500 [4 per cell]
Ag 0.250 0.250 0.750 [4 per cell]
Hg 0.250 0.250 0.250 [4 per cell]

Values from the calculation:
- Volume: 25.39 Å³/atom
- Magnetic moment: 7.24 μB per formula unit
- Energy of formation from the pure elements: -0.400 eV per atom

---

11.
The following is a DFT calculation (PBE-GGA) of a relaxed structure of TeW3C.

Unit cell a=4.257 b=4.257 c=4.257 alpha=90.00 beta=90.00 gamma=90.00
Space group Pm-3m (No. 221)
Symmetry-distinct sites (fractional):
Te 0.000 0.000 0.000 [1 per cell]
W 0.000 0.500 0.500 [3 per cell]
C 0.500 0.500 0.500 [1 per cell]

Values from the calculation:
- E above lowest polymorph: 0.0000 eV per atom
- Volume: 15.43 Å³/atom
- Magnetic moment: 0.00 μB per formula unit
- ΔE_f (raw): 0.7273 eV per atom

---

12.
The following is a DFT calculation (PBE-GGA) of a relaxed structure of GaCo3Si.

Unit cell a=9.180 b=7.508 c=7.143 alpha=90.00 beta=90.00 gamma=90.00
Space group Cmcm (No. 63)
Symmetry-distinct sites (fractional):
Ga 0.000 0.032 0.250 [4 per cell]
Ga 0.000 0.362 0.750 [4 per cell]
Co 0.132 0.168 0.518 [16 per cell]
Co 0.138 0.500 0.000 [8 per cell]
Si 0.196 0.314 0.250 [8 per cell]

Values from the calculation:
- E above lowest polymorph: 0.0000 eV per atom
- Volume: 12.31 Å³/atom
- Magnetic moment: 0.00 μB per formula unit
- ΔE_f (raw): -0.1327 eV per atom